{
  "formula": "DyRh3C",
  "functional": "PBE-GGA",
  "state": "optimized geometry",
  "m_tot_mub_per_atom": 0.00,
  "total_energy_ev_per_atom": -7.691,
  "e_form_ev_per_atom": -0.515,
  "n_ef_per_ev_cell": 1.000,
  "cell": [[4.183, 0.000, 0.000], [0.000, 4.183, 0.000], [0.000, 0.000, 4.183]],
  "species": ["Dy", "Rh", "Rh", "Rh", "C"],
  "fractional_positions": [[0.000, 0.000, 0.000], [0.000, 0.500, 0.500], [0.500, 0.000, 0.500], [0.500, 0.500, 0.000], [0.500, 0.500, 0.500]]
}